Compound: KNa2CoF6
Source: Alexandria via LeMat-Bulk
Functional: PBE with a Hubbard U
Structure: optimized geometry

a = 5.633 Å, b = 6.098 Å, c = 9.911 Å
α = 90.00°, β = 123.82°, γ = 90.00°
Space group P2_1/c (No. 14)
Asymmetric unit:
K: 0.000 0.000 0.000 (multiplicity 2)
Na: 0.216 0.027 0.718 (multiplicity 4)
Co: 0.500 0.000 0.500 (multiplicity 2)
F: 0.194 0.147 0.481 (multiplicity 4)
F: 0.244 0.730 0.877 (multiplicity 4)
F: 0.430 0.132 0.309 (multiplicity 4)

E above lowest polymorph ... 0.00 kcal/mol of atoms
E ... -4.4483 eV/atom
Crystal system ... monoclinic
D(E_F) ... 0.00 states/eV/atom